Record 1
# Cs3Sr2Cl3F4 | the Alexandria database | GGA-PBE | optimized geometry
# Formation energy without anion corrections ... -2.813 eV per atom
# Uncorrected energy ... -4.39 eV/atom
# Magnetization ... 0.24 μB/cell
data_Cs3Sr2Cl3F4
_symmetry_space_group_name_H-M 'I m m 2'
_symmetry_Int_Tables_number 44
_symmetry_space_group_name_Hall 'I 2 -2'
_cell_length_a 5.754
_cell_length_b 26.866
_cell_length_c 4.780
_cell_angle_alpha 90.00
_cell_angle_beta 90.00
_cell_angle_gamma 90.00
loop_
_atom_site_label
_atom_site_fract_x
_atom_site_fract_y
_atom_site_fract_z
_atom_site_occupancy
Cs1 0.000 0.000 0.000 1
Cs2 0.000 0.195 0.999 1
Sr1 0.000 0.387 0.001 1
Cl1 0.000 0.101 0.500 1
Cl2 0.000 0.500 0.000 1
F1 0.000 0.299 0.002 1
F2 0.000 0.382 0.501 1

=====

Record 2
# Cs3TaCl2F6 | the Alexandria database | GGA-PBE | optimized geometry
# Formation energy without anion corrections ... -2.816 eV per atom
# Uncorrected energy ... -5.26 eV/atom
# Magnetization ... 0.25 μB/cell
data_Cs3TaCl2F6
_symmetry_space_group_name_H-M 'C 1 2/m 1'
_symmetry_Int_Tables_number 12
_symmetry_space_group_name_Hall '-C 2y'
_cell_length_a 17.073
_cell_length_b 8.435
_cell_length_c 5.153
_cell_angle_alpha 90.00
_cell_angle_beta 92.58
_cell_angle_gamma 90.00
loop_
_atom_site_label
_atom_site_fract_x
_atom_site_fract_y
_atom_site_fract_z
_atom_site_occupancy
Cs1 0.000 0.000 0.000 1
Cs2 0.250 0.250 0.500 1
Ta1 0.000 0.500 0.500 1
Cl1 0.194 0.000 0.996 1
F1 0.033 0.335 0.741 1
F2 0.105 0.500 0.370 1

=====

Record 3
# Cs2TaClF6 | the Alexandria database | GGA-PBE | optimized geometry
# Formation energy without anion corrections ... -2.990 eV per atom
# Uncorrected energy ... -5.65 eV/atom
# Magnetization ... 0.10 μB/cell
data_Cs2TaClF6
_symmetry_space_group_name_H-M 'P -1'
_symmetry_Int_Tables_number 2
_symmetry_space_group_name_Hall '-P 1'
_cell_length_a 5.628
_cell_length_b 6.336
_cell_length_c 8.401
_cell_angle_alpha 67.97
_cell_angle_beta 70.63
_cell_angle_gamma 64.35
loop_
_atom_site_label
_atom_site_fract_x
_atom_site_fract_y
_atom_site_fract_z
_atom_site_occupancy
Cs1 0.202 0.278 0.319 1
Ta1 0.000 0.000 0.000 1
Cl1 0.500 0.500 0.500 1
F1 0.100 0.036 0.749 1
F2 0.129 0.252 0.966 1
F3 0.349 0.757 0.026 1

=====

Record 4
# Cs2TcCl4F2 | the Alexandria database | GGA-PBE | optimized geometry
# Formation energy without anion corrections ... -1.753 eV per atom
# Uncorrected energy ... -4.33 eV/atom
# Magnetization ... 6.00 μB/cell
data_Cs2TcCl4F2
_symmetry_space_group_name_H-M 'C 1 2/m 1'
_symmetry_Int_Tables_number 12
_symmetry_space_group_name_Hall '-C 2y'
_cell_length_a 12.032
_cell_length_b 7.263
_cell_length_c 6.089
_cell_angle_alpha 90.00
_cell_angle_beta 102.55
_cell_angle_gamma 90.00
loop_
_atom_site_label
_atom_site_fract_x
_atom_site_fract_y
_atom_site_fract_z
_atom_site_occupancy
Cs1 0.175 0.000 0.320 1
Tc1 0.000 0.500 0.000 1
Cl1 0.085 0.267 0.816 1
F1 0.136 0.500 0.249 1